K2WAu: optimized geometry, PBE-GGA.

Unit cell a=2.8770 b=2.8770 c=11.3403 alpha=90.00 beta=90.00 gamma=90.00
Sites, in units of the cell vectors:
K1 0.0000 0.0000 0.2441
K2 0.0000 0.0000 0.7559
W1 0.5000 0.5000 0.5000
Au1 0.5000 0.5000 0.0000

formation energy	964	meV per atom
excess energy over the best structure of this formula in the dataset	4.57	kcal/mol of atoms
density of states at the Fermi level	3.7	states/eV per cell

K2WAu: optimized geometry, PBE-GGA.

Unit cell a=6.4639 b=6.4639 c=2.7727 alpha=90.00 beta=90.00 gamma=123.61
Sites, in units of the cell vectors:
K1 0.0000 0.5000 0.0000
K2 0.5000 0.0000 0.0000
W1 0.0000 0.0000 0.5000
Au1 0.5000 0.5000 0.5000

formation energy	1154	meV per atom
excess energy over the best structure of this formula in the dataset	8.97	kcal/mol of atoms
density of states at the Fermi level	3.8	states/eV per cell

K2WAu: optimized geometry, PBE-GGA.

Unit cell a=6.0905 b=6.0905 c=3.5452 alpha=90.00 beta=90.00 gamma=90.00
Sites, in units of the cell vectors:
K1 0.0000 0.5000 0.0000
K2 0.5000 0.0000 0.0000
W1 0.0000 0.0000 0.5000
Au1 0.5000 0.5000 0.5000

formation energy	1384	meV per atom
excess energy over the best structure of this formula in the dataset	14.25	kcal/mol of atoms
density of states at the Fermi level	1.5	states/eV per cell

KW2Au: optimized geometry, PBE-GGA.

Unit cell a=2.9510 b=2.9510 c=10.7649 alpha=91.09 beta=91.09 gamma=56.29
Sites, in units of the cell vectors:
K1 0.0000 0.0000 0.0000
W1 0.1911 0.1911 0.7108
W2 0.3914 0.3914 0.4963
Au1 0.7110 0.7110 0.2693

formation energy	728	meV per atom
excess energy over the best structure of this formula in the dataset	2.47	kcal/mol of atoms
density of states at the Fermi level	3.0	states/eV per cell

KW2Au: optimized geometry, PBE-GGA.

Unit cell a=2.8255 b=3.2880 c=9.4184 alpha=90.00 beta=95.35 gamma=90.00
Sites, in units of the cell vectors:
K1 0.0000 0.0000 0.0000
W1 0.4594 0.5000 0.3314
W2 0.8330 0.0000 0.5081
Au1 0.4186 0.5000 0.7178

formation energy	660	meV per atom
excess energy over the best structure of this formula in the dataset	0.91	kcal/mol of atoms
density of states at the Fermi level	3.2	states/eV per cell

KWAu: optimized geometry, PBE-GGA.

Unit cell a=8.3341 b=2.9909 c=10.5284 alpha=90.00 beta=90.00 gamma=90.00
Sites, in units of the cell vectors:
K1 0.1329 0.2500 0.0823
K2 0.3671 0.7500 0.5823
K3 0.6329 0.2500 0.4177
K4 0.8671 0.7500 0.9177
W1 0.0328 0.2500 0.4100
W2 0.4672 0.7500 0.9100
W3 0.5328 0.2500 0.0900
W4 0.9672 0.7500 0.5900
Au1 0.1789 0.2500 0.7859
Au2 0.3211 0.7500 0.2859
Au3 0.6789 0.2500 0.7141
Au4 0.8211 0.7500 0.2141

formation energy	614	meV per atom
excess energy over the best structure of this formula in the dataset	0.36	kcal/mol of atoms
density of states at the Fermi level	8.0	states/eV per cell

K3WAu: optimized geometry, PBE-GGA.

Unit cell a=6.2355 b=6.2355 c=6.2355 alpha=90.00 beta=90.00 gamma=90.00
Sites, in units of the cell vectors:
K1 0.0000 0.0000 0.5000
K2 0.0000 0.5000 0.0000
K3 0.5000 0.0000 0.0000
W1 0.5000 0.5000 0.5000
Au1 0.0000 0.0000 0.0000

formation energy	1191	meV per atom
excess energy over the best structure of this formula in the dataset	0.00	kcal/mol of atoms
density of states at the Fermi level	2.8	states/eV per cell

KW2Au: optimized geometry, PBE-GGA.

Unit cell a=2.7280 b=2.7280 c=10.7271 alpha=90.00 beta=90.00 gamma=90.00
Sites, in units of the cell vectors:
K1 0.0000 0.0000 0.0000
W1 0.5000 0.5000 0.2911
W2 0.5000 0.5000 0.7089
Au1 0.0000 0.0000 0.5000

formation energy	1136	meV per atom
excess energy over the best structure of this formula in the dataset	11.90	kcal/mol of atoms
density of states at the Fermi level	4.5	states/eV per cell

KW2Au: optimized geometry, PBE-GGA.

Unit cell a=6.3423 b=6.3423 c=2.6822 alpha=100.84 beta=100.84 gamma=126.48
Sites, in units of the cell vectors:
K1 0.0000 0.0000 0.0000
W1 0.0000 0.5000 0.5000
W2 0.5000 0.0000 0.5000
Au1 0.5000 0.5000 0.0000

formation energy	1198	meV per atom
excess energy over the best structure of this formula in the dataset	13.31	kcal/mol of atoms
density of states at the Fermi level	3.1	states/eV per cell

KW2Au: optimized geometry, PBE-GGA.

Unit cell a=3.6029 b=3.6029 c=7.8162 alpha=90.00 beta=90.00 gamma=90.00
Sites, in units of the cell vectors:
K1 0.0000 0.0000 0.0000
W1 0.5000 0.5000 0.3559
W2 0.5000 0.5000 0.6441
Au1 0.0000 0.0000 0.5000

formation energy	1333	meV per atom
excess energy over the best structure of this formula in the dataset	16.45	kcal/mol of atoms
density of states at the Fermi level	4.5	states/eV per cell

KW2Au: optimized geometry, PBE-GGA.

Unit cell a=2.7111 b=5.1390 c=5.6989 alpha=90.00 beta=90.00 gamma=90.00
Sites, in units of the cell vectors:
K1 0.0000 0.0000 0.0000
W1 0.0000 0.5000 0.5000
W2 0.5000 0.0000 0.5000
Au1 0.5000 0.5000 0.0000

formation energy	1184	meV per atom
excess energy over the best structure of this formula in the dataset	12.99	kcal/mol of atoms
density of states at the Fermi level	2.5	states/eV per cell

KW3Au: optimized geometry, PBE-GGA.

Unit cell a=4.5110 b=4.5110 c=4.5110 alpha=90.00 beta=90.00 gamma=90.00
Sites, in units of the cell vectors:
K1 0.0000 0.0000 0.0000
W1 0.0000 0.0000 0.5000
W2 0.0000 0.5000 0.0000
W3 0.5000 0.0000 0.0000
Au1 0.5000 0.5000 0.5000

formation energy	3546	meV per atom
excess energy over the best structure of this formula in the dataset	17.34	kcal/mol of atoms
density of states at the Fermi level	3.5	states/eV per cell